[1]
# ThSnRh

ThSnRh after structural relaxation (PBE, the Alexandria database).

a = 3.887 Å, b = 3.887 Å, c = 10.021 Å
α = 90.00°, β = 90.00°, γ = 90.00°
Element x y z (fractional)
Th 0.000 0.000 0.000
Th 0.500 0.500 0.500
Sn 0.000 0.000 0.311
Sn 0.500 0.500 0.811
Rh 0.000 0.000 0.597
Rh 0.500 0.500 0.097

Results
SG: I4mm, No. 107
formation energy from the elements: -434 meV/atom


[2]
# TiSnRh

TiSnRh after structural relaxation (PBE, the Alexandria database).

a = 6.174 Å, b = 6.174 Å, c = 6.174 Å
α = 90.00°, β = 90.00°, γ = 90.00°
Element x y z (fractional)
Ti 0.000 0.000 0.000
Ti 0.000 0.500 0.500
Ti 0.500 0.000 0.500
Ti 0.500 0.500 0.000
Sn 0.000 0.000 0.500
Sn 0.000 0.500 0.000
Sn 0.500 0.000 0.000
Sn 0.500 0.500 0.500
Rh 0.250 0.250 0.750
Rh 0.250 0.750 0.250
Rh 0.750 0.250 0.250
Rh 0.750 0.750 0.750

Results
SG: F-43m, No. 216
formation energy from the elements: -556 meV/atom


[3]
# Ti2SnRh8

Ti2SnRh8 after structural relaxation (PBE, the Alexandria database).

a = 7.166 Å, b = 7.166 Å, c = 7.166 Å
α = 146.43°, β = 122.77°, γ = 68.01°
Element x y z (fractional)
Ti 0.200 0.200 0.000
Ti 0.800 0.800 0.000
Sn 0.500 0.500 0.000
Rh 0.054 0.343 0.711
Rh 0.188 0.000 0.188
Rh 0.350 0.850 0.500
Rh 0.367 0.657 0.711
Rh 0.633 0.343 0.289
Rh 0.650 0.150 0.500
Rh 0.812 0.000 0.812
Rh 0.946 0.657 0.289

Results
SG: Immm, No. 71
formation energy from the elements: -354 meV/atom
offset from the most stable computed form: 1.22 eV per formula unit


[4]
# Ti3SnRh6

Ti3SnRh6 after structural relaxation (PBE, the Alexandria database).

a = 7.571 Å, b = 4.454 Å, c = 9.641 Å
α = 90.00°, β = 110.17°, γ = 90.00°
Element x y z (fractional)
Ti 0.018 0.250 0.375
Ti 0.121 0.750 0.196
Ti 0.299 0.250 0.985
Ti 0.701 0.750 0.015
Ti 0.879 0.250 0.804
Ti 0.982 0.750 0.625
Sn 0.449 0.250 0.594
Sn 0.551 0.750 0.406
Rh 0.046 0.750 0.917
Rh 0.151 0.250 0.678
Rh 0.238 0.750 0.494
Rh 0.329 0.250 0.290
Rh 0.350 0.750 0.822
Rh 0.414 0.750 0.121
Rh 0.586 0.250 0.879
Rh 0.650 0.250 0.178
Rh 0.671 0.750 0.710
Rh 0.762 0.250 0.506
Rh 0.849 0.750 0.322
Rh 0.954 0.250 0.083

Results
SG: P2_1/m, No. 11
formation energy from the elements: -668 meV/atom


[5]
# TiSn2Rh

TiSn2Rh after structural relaxation (PBE, the Alexandria database).

a = 4.185 Å, b = 4.185 Å, c = 19.068 Å
α = 90.00°, β = 90.00°, γ = 90.00°
Element x y z (fractional)
Ti 0.000 0.000 0.000
Ti 0.000 0.500 0.250
Ti 0.500 0.000 0.750
Ti 0.500 0.500 0.500
Sn 0.243 0.250 0.625
Sn 0.250 0.743 0.875
Sn 0.250 0.757 0.375
Sn 0.257 0.250 0.125
Sn 0.743 0.750 0.125
Sn 0.750 0.243 0.375
Sn 0.750 0.257 0.875
Sn 0.757 0.750 0.625
Rh 0.000 0.000 0.500
Rh 0.000 0.500 0.750
Rh 0.500 0.000 0.250
Rh 0.500 0.500 0.000

Results
SG: I-42d, No. 122
formation energy from the elements: 30 meV/atom


[6]
# Ti2SnRh3

Ti2SnRh3 after structural relaxation (PBE, the Alexandria database).

a = 4.417 Å, b = 4.417 Å, c = 11.262 Å
α = 90.00°, β = 90.00°, γ = 120.00°
Element x y z (fractional)
Ti 0.000 0.000 0.000
Ti 0.000 0.000 0.500
Ti 0.333 0.667 0.170
Ti 0.667 0.333 0.830
Sn 0.333 0.667 0.672
Sn 0.667 0.333 0.328
Rh 0.000 0.000 0.220
Rh 0.000 0.000 0.780
Rh 0.333 0.667 0.429
Rh 0.333 0.667 0.929
Rh 0.667 0.333 0.071
Rh 0.667 0.333 0.571

Results
SG: P-3m1, No. 164
formation energy from the elements: -703 meV/atom


[7]
# TiSnRh2

TiSnRh2 after structural relaxation (PBE, the Alexandria database).

a = 4.193 Å, b = 4.193 Å, c = 3.656 Å
α = 90.00°, β = 90.00°, γ = 90.00°
Element x y z (fractional)
Ti 0.000 0.000 0.000
Sn 0.500 0.500 0.000
Rh 0.000 0.500 0.500
Rh 0.500 0.000 0.500

Results
SG: P4/mmm, No. 123
formation energy from the elements: -595 meV/atom


[8]
# Ti12Sn6Rh

Ti12Sn6Rh after structural relaxation (PBE, the Alexandria database).

a = 7.058 Å, b = 7.058 Å, c = 7.058 Å
α = 90.90°, β = 90.90°, γ = 90.90°
Element x y z (fractional)
Ti 0.028 0.949 0.297
Ti 0.051 0.703 0.972
Ti 0.123 0.435 0.356
Ti 0.297 0.028 0.949
Ti 0.356 0.123 0.435
Ti 0.435 0.356 0.123
Ti 0.565 0.644 0.877
Ti 0.644 0.877 0.565
Ti 0.703 0.972 0.051
Ti 0.877 0.565 0.644
Ti 0.949 0.297 0.028
Ti 0.972 0.051 0.703
Sn 0.219 0.376 0.757
Sn 0.243 0.781 0.624
Sn 0.376 0.757 0.219
Sn 0.624 0.243 0.781
Sn 0.757 0.219 0.376
Sn 0.781 0.624 0.243
Rh 0.500 0.500 0.500

Results
SG: R-3, No. 148
formation energy from the elements: -209 meV/atom


[9]
# TiSn2Rh2

TiSn2Rh2 after structural relaxation (PBE, the Alexandria database).

a = 4.431 Å, b = 4.482 Å, c = 9.475 Å
α = 90.00°, β = 90.00°, γ = 90.00°
Element x y z (fractional)
Ti 0.250 0.250 0.170
Ti 0.750 0.750 0.830
Sn 0.250 0.250 0.493
Sn 0.250 0.250 0.828
Sn 0.750 0.750 0.172
Sn 0.750 0.750 0.507
Rh 0.250 0.750 0.005
Rh 0.250 0.750 0.680
Rh 0.750 0.250 0.320
Rh 0.750 0.250 0.995

Results
SG: Pmmn, No. 59
formation energy from the elements: -589 meV/atom


[10]
# Ti7SnRh4

Ti7SnRh4 after structural relaxation (PBE, the Alexandria database).

a = 6.678 Å, b = 6.678 Å, c = 8.137 Å
α = 122.13°, β = 122.13°, γ = 44.05°
Element x y z (fractional)
Ti 0.000 0.000 0.000
Ti 0.219 0.219 0.671
Ti 0.284 0.284 0.112
Ti 0.439 0.439 0.599
Ti 0.561 0.561 0.401
Ti 0.716 0.716 0.888
Ti 0.781 0.781 0.329
Sn 0.500 0.500 0.000
Rh 0.058 0.058 0.742
Rh 0.206 0.206 0.349
Rh 0.794 0.794 0.651
Rh 0.942 0.942 0.258

Results
SG: C2/m, No. 12
formation energy from the elements: -250 meV/atom


- What is the formation energy from the elements in the third record?
  -354 meV/atom


- Which of these has the highest formation energy from the elements?
  TiSn2Rh